DFT (PBE) results for a relaxed Y2CdIn crystal.

## Properties
E_form = -0.111 eV/atom
Spin magnetization = 0.63 μB per formula unit

abc: 3.5391 3.5391 31.6023
angles: 90.00 90.00 120.00
Space group R3m (No. 160, hexagonal axes)
Inequivalent atoms, fractional coordinates:
Y 0.0000 0.0000 0.0000 (multiplicity 3)
Y 0.0000 0.0000 0.2426 (multiplicity 3)
Cd 0.0000 0.0000 0.4937 (multiplicity 3)
In 0.0000 0.0000 0.7511 (multiplicity 3)

DFT (PBE) results for a relaxed LaMnRu2 crystal.

## Properties
E_form = 0.336 eV/atom
Spin magnetization = 3.93 μB per formula unit

abc: 3.281 5.137 8.452
angles: 90.00 90.00 90.00
Space group Immm (No. 71)
Inequivalent atoms, fractional coordinates:
La 0.000 0.000 0.000 (multiplicity 2)
Mn 0.000 0.000 0.500 (multiplicity 2)
Ru 0.000 0.500 0.238 (multiplicity 4)

DFT (PBE) results for a relaxed RbNa4Hg2 crystal.

## Properties
E_form = -0.153 eV/atom
Spin magnetization = 0.00 μB per formula unit

abc: 9.909 9.909 5.079
angles: 90.00 90.00 90.00
Space group P4_2/mnm (No. 136)
Inequivalent atoms, fractional coordinates:
Rb 0.000 0.000 0.000 (multiplicity 2)
Na 0.088 0.337 0.500 (multiplicity 8)
Hg 0.220 0.780 0.500 (multiplicity 4)

DFT (PBE) results for a relaxed Pa4CSe4 crystal.

## Properties
Uncorrected formation energy = -725.6 meV per atom
Spin magnetization = 7.34 μB per formula unit

abc: 6.803 6.803 10.803
angles: 90.00 90.00 90.00
Space group I-42m (No. 121)
Inequivalent atoms, fractional coordinates:
Pa 0.193 0.193 0.131 (multiplicity 8)
C 0.000 0.000 0.000 (multiplicity 2)
Se 0.000 0.000 0.332 (multiplicity 4)
Se 0.000 0.500 0.000 (multiplicity 4)

DFT (PBE) results for a relaxed Hf8Al3Ga2 crystal.

## Properties
E_form = -0.006 eV/atom
Spin magnetization = 0.00 μB per formula unit

abc: 7.622 14.424 4.919
angles: 90.00 90.00 90.00
Space group Cmmm (No. 65)
Inequivalent atoms, fractional coordinates:
Hf 0.000 0.107 0.000 (multiplicity 4)
Hf 0.000 0.312 0.000 (multiplicity 4)
Hf 0.198 0.382 0.500 (multiplicity 8)
Al 0.000 0.000 0.500 (multiplicity 2)
Al 0.172 0.500 0.000 (multiplicity 4)
Ga 0.000 0.217 0.500 (multiplicity 4)

DFT (PBE) results for a relaxed Sr2SbH2 crystal.

## Properties
Spin magnetization = 0.00 μB per formula unit
Electronic total energy = -35.6 eV/cell

abc: 4.014 4.014 14.115
angles: 90.00 90.00 90.00
Space group I4/mmm (No. 139)
Inequivalent atoms, fractional coordinates:
Sr 0.000 0.000 0.150 (multiplicity 4)
Sb 0.000 0.000 0.500 (multiplicity 2)
H 0.000 0.500 0.250 (multiplicity 4)

DFT (PBE) results for a relaxed PuTiPd4 crystal.

## Properties
E_form = -0.346 eV/atom
Spin magnetization = 5.30 μB per formula unit

abc: 4.111 26.174 4.117
angles: 90.00 90.00 90.00
Space group Cmmm (No. 65)
Inequivalent atoms, fractional coordinates:
Pu 0.000 0.203 0.000 (multiplicity 4)
Ti 0.000 0.438 0.500 (multiplicity 4)
Pd 0.000 0.000 0.500 (multiplicity 2)
Pd 0.000 0.120 0.500 (multiplicity 4)
Pd 0.000 0.296 0.500 (multiplicity 4)
Pd 0.000 0.379 0.000 (multiplicity 4)
Pd 0.000 0.500 0.000 (multiplicity 2)

DFT (PBE) results for a relaxed LiRh2Br crystal.

## Properties
Uncorrected formation energy = 392.6 meV per atom
Spin magnetization = 0.00 μB per formula unit

abc: 2.9694 2.9694 24.8495
angles: 90.00 90.00 120.00
Space group R-3m (No. 166, hexagonal axes)
Inequivalent atoms, fractional coordinates:
Li 0.0000 0.0000 0.0000 (multiplicity 3)
Rh 0.0000 0.0000 0.2493 (multiplicity 6)
Br 0.0000 0.0000 0.5000 (multiplicity 3)